1.
TmS2BrCl (PBE-GGA, relaxed); crystal system = triclinic; space-group type = P-1 (2); E = -23.29 eV/f.u.; M_tot = 0.0 μB per formula unit
1.0
7.104 0.000 0.000
-3.373 6.601 0.000
-0.127 -3.717 6.816
Tm S Br Cl
2 4 2 2
Direct
0.164 0.337 0.000 Tm
0.836 0.663 0.000 Tm
0.048 0.143 0.251 S
0.217 0.965 0.943 S
0.783 0.035 0.057 S
0.952 0.857 0.749 S
0.416 0.393 0.737 Br
0.584 0.607 0.263 Br
0.117 0.676 0.244 Cl
0.883 0.324 0.756 Cl

***

2.
ZrS4Br4Cl2 (PBE-GGA, relaxed); crystal system = triclinic; space-group type = P-1 (2); E = -43.04 eV/f.u.; M_tot = 0.0 μB per formula unit
1.0
7.412 0.000 0.000
3.703 6.555 0.000
3.691 -1.762 6.917
Zr S Br Cl
1 4 4 2
Direct
0.000 0.000 0.000 Zr
0.116 0.607 0.503 S
0.225 0.336 0.336 S
0.775 0.664 0.664 S
0.884 0.393 0.497 S
0.193 0.972 0.220 Br
0.353 0.600 0.807 Br
0.647 0.400 0.193 Br
0.807 0.028 0.780 Br
0.238 0.129 0.779 Cl
0.762 0.871 0.221 Cl

***

3.
Sm2SbBrCl (PBE-GGA, relaxed); crystal system = trigonal; space-group type = P3m1 (156); E = -25.05 eV/f.u.; M_tot = 0.0 μB per formula unit
1.0
4.288 0.000 0.000
-2.144 3.713 0.000
0.000 0.000 10.643
Sm Sb Br Cl
2 1 1 1
Direct
0.000 0.000 0.000 Sm
0.333 0.667 0.662 Sm
0.667 0.333 0.831 Sb
0.333 0.667 0.165 Br
0.000 0.000 0.517 Cl

***

4.
Tb2Se2BrCl (PBE-GGA, relaxed); crystal system = orthorhombic; space-group type = Pmm2 (25); E = -31.64 eV/f.u.; M_tot = 0.0 μB per formula unit
1.0
4.120 0.000 0.000
0.000 5.673 0.000
0.000 0.000 8.605
Tb Se Br Cl
2 2 1 1
Direct
0.000 0.000 0.000 Tb
0.500 0.500 0.278 Tb
0.000 0.500 0.043 Se
0.500 0.000 0.237 Se
0.000 0.500 0.505 Br
0.500 0.000 0.799 Cl

***

5.
Zr2Se2BrCl (PBE-GGA, relaxed); crystal system = monoclinic; space-group type = Cm (8); E = -35.89 eV/f.u.; M_tot = 0.2 μB per formula unit
1.0
7.446 -1.842 0.000
7.446 1.842 0.000
-2.903 0.000 5.944
Zr Se Br Cl
2 2 1 1
Direct
0.000 0.000 0.000 Zr
0.508 0.508 0.584 Zr
0.135 0.135 0.841 Se
0.373 0.373 0.745 Se
0.623 0.623 0.330 Br
0.902 0.902 0.270 Cl

***

6.
Zr2Se2BrCl (PBE-GGA, relaxed); crystal system = orthorhombic; space-group type = Pmm2 (25); E = -36.31 eV/f.u.; M_tot = 0.0 μB per formula unit
1.0
3.719 0.000 0.000
0.000 5.320 0.000
0.000 0.000 8.194
Zr Se Br Cl
2 2 1 1
Direct
0.000 0.000 0.000 Zr
0.500 0.500 0.202 Zr
0.000 0.500 0.956 Se
0.500 0.000 0.244 Se
0.000 0.500 0.449 Br
0.500 0.000 0.776 Cl